No. 1
# SmCdInPd | Alexandria | PBE | relaxed
data_SmCdInPd
_chemical_formula_sum 'Sm1 Cd1 In1 Pd1'
_cell_length_a 4.9944
_cell_length_b 4.9944
_cell_length_c 4.9944
_cell_angle_alpha 60.00
_cell_angle_beta 60.00
_cell_angle_gamma 60.00
_space_group_name_H-M_alt 'P 1'
_space_group_IT_number 1
_space_group_name_Hall 'P 1'
loop_
_atom_site_label
_atom_site_fract_x
_atom_site_fract_y
_atom_site_fract_z
_atom_site_occupancy
Pd1 0.2500 0.2500 0.2500 1
Cd1 0.7500 0.7500 0.7500 1
In1 0.0000 0.0000 0.0000 1
Sm1 0.5000 0.5000 0.5000 1
# **Formation energy from the elements**: -0.530 eV per atom

***

No. 2
# Na3Sr6Ir | Alexandria | PBE | relaxed
data_Na3Sr6Ir
_chemical_formula_sum 'Na6 Sr12 Ir2'
_cell_length_a 7.1082
_cell_length_b 12.6105
_cell_length_c 12.0405
_cell_angle_alpha 121.58
_cell_angle_beta 90.00
_cell_angle_gamma 90.00
_space_group_name_H-M_alt 'P 1'
_space_group_IT_number 1
_space_group_name_Hall 'P 1'
loop_
_atom_site_label
_atom_site_fract_x
_atom_site_fract_y
_atom_site_fract_z
_atom_site_occupancy
Sr1 0.4812 0.9106 0.8213 1
Sr2 0.8209 0.7428 0.4856 1
Sr3 0.9812 0.0894 0.1787 1
Sr4 0.3095 0.5884 0.5008 1
Sr5 0.8095 0.4116 0.4992 1
Sr6 0.4904 0.2555 0.1688 1
Sr7 0.8095 0.0876 0.4992 1
Sr8 0.4904 0.9133 0.1688 1
Sr9 0.9904 0.7445 0.8312 1
Sr10 0.3095 0.9124 0.5008 1
Sr11 0.3209 0.2572 0.5144 1
Sr12 0.9904 0.0867 0.8312 1
Na1 0.4755 0.5793 0.1587 1
Na2 0.9853 0.7439 0.1677 1
Na3 0.9755 0.4207 0.8413 1
Na4 0.4853 0.5762 0.8323 1
Na5 0.9853 0.4238 0.1677 1
Na6 0.4853 0.2561 0.8323 1
Ir1 0.1372 0.8326 0.6653 1
Ir2 0.6372 0.1674 0.3347 1
# **Formation energy from the elements**: -0.076 eV per atom

***

No. 3
# Cr2SiSb | Alexandria | PBE | relaxed
data_Cr2SiSb
_chemical_formula_sum 'Cr2 Si1 Sb1'
_cell_length_a 3.8073
_cell_length_b 4.5224
_cell_length_c 3.5817
_cell_angle_alpha 90.00
_cell_angle_beta 90.00
_cell_angle_gamma 90.00
_space_group_name_H-M_alt 'P 1'
_space_group_IT_number 1
_space_group_name_Hall 'P 1'
loop_
_atom_site_label
_atom_site_fract_x
_atom_site_fract_y
_atom_site_fract_z
_atom_site_occupancy
Sb1 0.5000 0.0000 0.5000 1
Si1 0.0000 0.5000 0.5000 1
Cr1 0.0000 0.0000 0.0000 1
Cr2 0.5000 0.5000 0.0000 1
# **ΔE to the lowest computed polymorph**: 14.7 kJ per mole of atoms
# **E_form (uncorrected)**: 0.314 eV per atom

***

No. 4
# LiSn2Ge | Alexandria | PBE | relaxed
data_LiSn2Ge
_chemical_formula_sum 'Li1 Sn2 Ge1'
_cell_length_a 4.8543
_cell_length_b 4.8543
_cell_length_c 7.2353
_cell_angle_alpha 70.40
_cell_angle_beta 70.40
_cell_angle_gamma 60.00
_space_group_name_H-M_alt 'P 1'
_space_group_IT_number 1
_space_group_name_Hall 'P 1'
loop_
_atom_site_label
_atom_site_fract_x
_atom_site_fract_y
_atom_site_fract_z
_atom_site_occupancy
Li1 0.5000 0.5000 0.5000 1
Ge1 0.0000 0.0000 0.0000 1
Sn1 0.1321 0.1321 0.6036 1
Sn2 0.8679 0.8679 0.3964 1
# **Formation energy from the elements**: 0.381 eV per atom

***

No. 5
# Y3Er2Tm6 | Alexandria | PBE | relaxed
data_Y3Er2Tm6
_chemical_formula_sum 'Y3 Er2 Tm6'
_cell_length_a 4.6813
_cell_length_b 4.6813
_cell_length_c 16.7083
_cell_angle_alpha 98.05
_cell_angle_beta 98.05
_cell_angle_gamma 90.00
_space_group_name_H-M_alt 'P 1'
_space_group_IT_number 1
_space_group_name_Hall 'P 1'
loop_
_atom_site_label
_atom_site_fract_x
_atom_site_fract_y
_atom_site_fract_z
_atom_site_occupancy
Er1 0.5463 0.5463 0.0926 1
Er2 0.4537 0.4537 0.9074 1
Tm1 0.3072 0.3072 0.6143 1
Tm2 0.8793 0.3793 0.7586 1
Tm3 0.6207 0.1207 0.2414 1
Tm4 0.3793 0.8793 0.7586 1
Tm5 0.6928 0.6928 0.3857 1
Tm6 0.1207 0.6207 0.2414 1
Y1 0.0000 0.0000 0.0000 1
Y2 0.7975 0.7975 0.5950 1
Y3 0.2025 0.2025 0.4050 1
# **Formation energy from the elements**: 0.281 eV per atom

***

No. 6
# La6Te2As3Br | Alexandria | PBE | relaxed
data_La6Te2As3Br
_chemical_formula_sum 'La6 Te2 As3 Br1'
_cell_length_a 4.4065
_cell_length_b 9.0179
_cell_length_c 10.0355
_cell_angle_alpha 104.92
_cell_angle_beta 102.68
_cell_angle_gamma 90.00
_space_group_name_H-M_alt 'P 1'
_space_group_IT_number 1
_space_group_name_Hall 'P 1'
loop_
_atom_site_label
_atom_site_fract_x
_atom_site_fract_y
_atom_site_fract_z
_atom_site_occupancy
As1 0.1664 0.8338 0.3328 1
As2 0.8336 0.1662 0.6672 1
As3 0.5000 0.5000 0.0000 1
La1 0.9927 0.2705 0.9854 1
La2 0.6617 0.5980 0.3234 1
La3 0.3255 0.9322 0.6510 1
La4 0.0073 0.7295 0.0146 1
La5 0.6745 0.0678 0.3490 1
La6 0.3383 0.4020 0.6766 1
Br1 0.5000 0.0000 0.0000 1
Te1 0.1643 0.3289 0.3286 1
Te2 0.8357 0.6711 0.6714 1
# **E_form (uncorrected)**: -1.620 eV per atom

***

No. 7
# Tb2ScGe3 | Alexandria | PBE | relaxed
data_Tb2ScGe3
_chemical_formula_sum 'Tb2 Sc1 Ge3'
_cell_length_a 4.6575
_cell_length_b 5.7849
_cell_length_c 6.4219
_cell_angle_alpha 116.77
_cell_angle_beta 111.26
_cell_angle_gamma 90.00
_space_group_name_H-M_alt 'P 1'
_space_group_IT_number 1
_space_group_name_Hall 'P 1'
loop_
_atom_site_label
_atom_site_fract_x
_atom_site_fract_y
_atom_site_fract_z
_atom_site_occupancy
Ge1 0.6379 0.6379 0.2759 1
Ge2 0.0000 0.0000 0.0000 1
Ge3 0.3621 0.3621 0.7241 1
Sc1 0.0000 0.5000 0.0000 1
Tb1 0.6757 0.1757 0.3513 1
Tb2 0.3243 0.8243 0.6487 1
# **Formation energy from the elements**: -0.667 eV per atom

***

No. 8
# Nd2DyY5 | Alexandria | PBE | relaxed
data_Nd2DyY5
_chemical_formula_sum 'Nd4 Dy2 Y10'
_cell_length_a 5.0784
_cell_length_b 7.1913
_cell_length_c 14.3830
_cell_angle_alpha 90.00
_cell_angle_beta 90.00
_cell_angle_gamma 90.00
_space_group_name_H-M_alt 'P 1'
_space_group_IT_number 1
_space_group_name_Hall 'P 1'
loop_
_atom_site_label
_atom_site_fract_x
_atom_site_fract_y
_atom_site_fract_z
_atom_site_occupancy
Nd1 0.5000 0.2509 0.1245 1
Nd2 0.5000 0.7491 0.8755 1
Nd3 0.5000 0.7509 0.3755 1
Nd4 0.5000 0.2491 0.6245 1
Y1 0.0000 0.5003 0.2495 1
Y2 0.0000 0.4997 0.7505 1
Y3 0.5000 0.2497 0.3753 1
Y4 0.0000 0.0003 0.2505 1
Y5 0.5000 0.2503 0.8753 1
Y6 0.5000 0.7503 0.6247 1
Y7 0.0000 0.5000 0.5000 1
Y8 0.0000 0.9997 0.7495 1
Y9 0.5000 0.7497 0.1247 1
Y10 0.0000 0.0000 0.0000 1
Dy1 0.0000 0.5000 0.0000 1
Dy2 0.0000 0.0000 0.5000 1
# **Formation energy from the elements**: 0.020 eV per atom
# **ΔE to the lowest computed polymorph**: 0.0 kJ per mole of atoms

***

No. 9
# Dy2TlNi | Alexandria | PBE | relaxed
data_Dy2TlNi
_chemical_formula_sum 'Dy2 Tl1 Ni1'
_cell_length_a 5.1131
_cell_length_b 5.1131
_cell_length_c 5.1131
_cell_angle_alpha 60.00
_cell_angle_beta 60.00
_cell_angle_gamma 60.00
_space_group_name_H-M_alt 'P 1'
_space_group_IT_number 1
_space_group_name_Hall 'P 1'
loop_
_atom_site_label
_atom_site_fract_x
_atom_site_fract_y
_atom_site_fract_z
_atom_site_occupancy
Dy1 0.2500 0.2500 0.2500 1
Dy2 0.7500 0.7500 0.7500 1
Ni1 0.5000 0.5000 0.5000 1
Tl1 0.0000 0.0000 0.0000 1
# **Formation energy from the elements**: -0.250 eV per atom
# **ΔE to the lowest computed polymorph**: 10.8 kJ per mole of atoms

***

No. 10
# ScCuGe | Alexandria | PBE | relaxed
data_ScCuGe
_chemical_formula_sum 'Sc3 Cu3 Ge3'
_cell_length_a 3.9865
_cell_length_b 6.5427
_cell_length_c 6.5427
_cell_angle_alpha 120.00
_cell_angle_beta 90.00
_cell_angle_gamma 90.00
_space_group_name_H-M_alt 'P 1'
_space_group_IT_number 1
_space_group_name_Hall 'P 1'
loop_
_atom_site_label
_atom_site_fract_x
_atom_site_fract_y
_atom_site_fract_z
_atom_site_occupancy
Ge1 0.0000 0.3333 0.6667 1
Ge2 0.5000 0.0000 0.0000 1
Ge3 0.0000 0.6667 0.3333 1
Sc1 0.5000 0.0000 0.5721 1
Sc2 0.5000 0.5721 0.0000 1
Sc3 0.5000 0.4279 0.4279 1
Cu1 0.0000 0.2433 0.0000 1
Cu2 0.0000 0.0000 0.2433 1
Cu3 0.0000 0.7567 0.7567 1
# **Formation energy from the elements**: -0.662 eV per atom

***

No. 11
# Ba2NaCoN | Alexandria | PBE | relaxed
data_Ba2NaCoN
_chemical_formula_sum 'Ba2 Na1 Co1 N1'
_cell_length_a 5.9832
_cell_length_b 5.9832
_cell_length_c 3.6151
_cell_angle_alpha 90.00
_cell_angle_beta 90.00
_cell_angle_gamma 90.00
_space_group_name_H-M_alt 'P 1'
_space_group_IT_number 1
_space_group_name_Hall 'P 1'
loop_
_atom_site_label
_atom_site_fract_x
_atom_site_fract_y
_atom_site_fract_z
_atom_site_occupancy
Ba1 0.0000 0.5000 0.0000 1
Ba2 0.5000 0.0000 0.0000 1
N1 0.0000 0.0000 0.0000 1
Co1 0.0000 0.0000 0.5000 1
Na1 0.5000 0.5000 0.5000 1
# **E_form (uncorrected)**: -0.118 eV per atom

***

No. 12
# YSi4Au | Alexandria | PBE | relaxed
data_YSi4Au
_chemical_formula_sum 'Y1 Si4 Au1'
_cell_length_a 5.2489
_cell_length_b 5.2489
_cell_length_c 5.2489
_cell_angle_alpha 60.00
_cell_angle_beta 60.00
_cell_angle_gamma 60.00
_space_group_name_H-M_alt 'P 1'
_space_group_IT_number 1
_space_group_name_Hall 'P 1'
loop_
_atom_site_label
_atom_site_fract_x
_atom_site_fract_y
_atom_site_fract_z
_atom_site_occupancy
Si1 0.3737 0.3737 0.8788 1
Si2 0.8788 0.3737 0.3737 1
Si3 0.3737 0.8788 0.3737 1
Si4 0.3737 0.3737 0.3737 1
Y1 0.7500 0.7500 0.7500 1
Au1 0.0000 0.0000 0.0000 1
# **E_form (uncorrected)**: -0.093 eV per atom